A relaxed structure of USnBi2, computed with PBE-GGA.

Values from the calculation:
ΔH_f (0 K)	0.1521	eV/atom
space group	R-3m (166)
calculated total energy	-22.444	eV per cell
total moment	2.48	μB/cell

Cell: 3.353 3.353 12.244 Å, 82.13 82.13 60.00°
Element x y z (fractional)
Sn: 0.000 0.000 0.000
Bi: 0.910 0.910 0.270
Bi: 0.090 0.090 0.730
U: 0.500 0.500 0.500